Record 1
{
  "formula": "Pm4InHg5",
  "functional": "GGA-PBE",
  "state": "relaxed",
  "total_energy_ev_per_cell": -27.40,
  "volume_a3_per_cell": 270.5,
  "lattice": [[-2.869, -0.350, -2.514], [-0.952, -3.369, 1.555], [-11.326, 8.614, 11.723]],
  "species": ["Pm", "Pm", "Pm", "Pm", "In", "Hg", "Hg", "Hg", "Hg", "Hg"],
  "frac_coords": [[0.000, 0.000, 0.192], [0.000, 0.000, 0.398], [0.000, 0.000, 0.602], [0.000, 0.000, 0.808], [0.000, 0.000, 0.000], [0.500, 0.500, 0.094], [0.500, 0.500, 0.297], [0.500, 0.500, 0.500], [0.500, 0.500, 0.703], [0.500, 0.500, 0.906]]
}


Record 2
{
  "formula": "Pm2InHg3",
  "functional": "GGA-PBE",
  "state": "relaxed",
  "total_energy_ev_per_cell": -31.56,
  "volume_a3_per_cell": 310.6,
  "lattice": [[6.092, -0.875, 0.000], [-1.110, 6.053, 0.000], [-2.491, -2.589, 8.651]],
  "species": ["Pm", "Pm", "Pm", "Pm", "In", "In", "Hg", "Hg", "Hg", "Hg", "Hg", "Hg"],
  "frac_coords": [[0.250, 0.750, 0.500], [0.755, 0.755, 0.000], [0.750, 0.250, 0.500], [0.245, 0.245, 0.000], [0.667, 0.667, 0.333], [0.333, 0.333, 0.667], [0.335, 0.832, 0.167], [0.168, 0.665, 0.833], [0.665, 0.168, 0.833], [0.832, 0.335, 0.167], [0.167, 0.167, 0.334], [0.833, 0.833, 0.666]]
}


Record 3
{
  "formula": "Pm3In2Hg6",
  "functional": "GGA-PBE",
  "state": "relaxed",
  "total_energy_ev_per_cell": -24.07,
  "volume_a3_per_cell": 307.0,
  "lattice": [[-4.092, 1.314, 0.518], [-1.395, -3.513, -2.110], [1.909, -7.083, 14.966]],
  "species": ["Pm", "Pm", "Pm", "In", "In", "Hg", "Hg", "Hg", "Hg", "Hg", "Hg"],
  "frac_coords": [[0.000, 0.000, 0.000], [0.825, 0.825, 0.651], [0.175, 0.175, 0.349], [0.362, 0.362, 0.723], [0.638, 0.638, 0.277], [0.072, 0.572, 0.144], [0.572, 0.072, 0.144], [0.928, 0.428, 0.856], [0.428, 0.928, 0.856], [0.729, 0.729, 0.458], [0.271, 0.271, 0.542]]
}


Record 4
{
  "formula": "Pm6InHg6",
  "functional": "GGA-PBE",
  "state": "relaxed",
  "total_energy_ev_per_cell": -36.97,
  "volume_a3_per_cell": 374.8,
  "lattice": [[6.343, -0.001, 0.000], [-3.172, 5.493, 0.000], [0.000, 0.000, 10.759]],
  "species": ["Pm", "Pm", "Pm", "Pm", "Pm", "Pm", "In", "Hg", "Hg", "Hg", "Hg", "Hg", "Hg"],
  "frac_coords": [[0.000, 0.000, 0.682], [0.000, 0.000, 0.318], [0.333, 0.667, 0.000], [0.667, 0.333, 0.000], [0.333, 0.667, 0.500], [0.667, 0.333, 0.500], [0.000, 0.000, 0.000], [0.000, 0.500, 0.751], [0.500, 0.000, 0.751], [0.500, 0.500, 0.751], [0.500, 0.000, 0.249], [0.000, 0.500, 0.249], [0.500, 0.500, 0.249]]
}


Record 5
{
  "formula": "Pm3InHg2",
  "functional": "GGA-PBE",
  "state": "relaxed",
  "total_energy_ev_per_cell": -20.45,
  "volume_a3_per_cell": 168.3,
  "lattice": [[-0.451, -0.890, -3.654], [3.757, -0.274, -0.397], [-0.530, -11.369, 2.834]],
  "species": ["Pm", "Pm", "Pm", "In", "Hg", "Hg"],
  "frac_coords": [[0.000, 0.000, 0.000], [0.000, 0.000, 0.672], [0.000, 0.000, 0.328], [0.500, 0.500, 0.500], [0.500, 0.500, 0.836], [0.500, 0.500, 0.164]]
}


Record 6
{
  "formula": "Pm3In2Hg2",
  "functional": "GGA-PBE",
  "state": "relaxed",
  "total_energy_ev_per_cell": -23.25,
  "volume_a3_per_cell": 191.2,
  "lattice": [[0.275, 2.779, 3.719], [-0.204, -2.841, 2.138], [11.640, 0.450, 1.711]],
  "species": ["Pm", "Pm", "Pm", "In", "In", "Hg", "Hg"],
  "frac_coords": [[0.849, 0.000, 0.303], [0.000, 0.000, 0.000], [0.151, 0.000, 0.697], [0.714, 0.500, 0.572], [0.286, 0.500, 0.428], [0.574, 0.500, 0.852], [0.426, 0.500, 0.148]]
}